Entry from Alexandria: crystalline Cd6GeO8 at its relaxed geometry (PBE).

```
15
Lattice="-2.5376 5.5919 2.5690 -1.2779 0.3860 6.5212 3.7527 3.8715 3.9035" Properties=species:S:1:pos:R:3 pbc="T T T"
O 2.1701 4.3119 4.9881
Ge 0.0000 0.0000 0.0000
O 0.6938 7.5652 6.4827
O -2.2329 5.5374 8.0057
Cd 1.8764 1.9357 1.9518
O 1.4267 4.5365 8.7821
Cd 1.2374 2.1287 5.2124
O -0.7566 2.2841 6.5111
O -0.0471 7.3870 9.7453
Cd -1.9078 2.9889 4.5451
O -0.0157 2.4623 3.2484
O -1.4895 5.3129 4.2117
Cd 0.6076 4.7317 3.2363
Cd -0.6390 0.1930 3.2606
Cd -1.2688 2.7960 1.2845
```

Values from the calculation:
DOS(E_F), states/eV/atom: 0.126
ΔE_f (raw), eV/atom: -1.164
Space-group type: No. 225